Crystalline BaZr2Si at its relaxed geometry. Source: Alexandria, functional PBE.

Values from the calculation:
As for the total energy: -6.032 eV per atom. Its volume is 226.3 Å³ per cell. The calculation puts the formation energy from raw total energies at 0.079 eV per atom. The value obtained for the spin magnetization is 0.00 μB/f.u.

Lattice parameters (Å, degrees): 10.3391 3.6764 6.8522 90.00 119.69 90.00
Last column: nearest neighbours and their distance in Å.
Space group Cm (No. 8)
Unique sites:
Ba 0.0000 0.0000 0.0000 x2  4 Zr 3.33-3.68, 3 Si 3.37-3.39, 2 Ba 3.68
Zr 0.1490 0.0000 0.6667 x2  2 Si 2.64
Zr 0.3829 0.0000 0.3897 x2  2 Si 2.68
Si 0.2223 0.5000 0.4619 x2  4 Zr 2.64-2.68